First-principles (SCAN) data for MgB2C2 at its PBEsol-relaxed geometry, as listed in the Alexandria database.

Cell lengths 7.2057, 7.2057, 7.3933 Å; angles 90.00, 90.00, 98.18 degrees
Closest atoms and distances in Å follow each position.
Positions (direct):
Mg1 0.2793 0.2793 0.0105  6 B 2.33-2.54, 6 C 2.41-2.49
Mg2 0.2207 0.2207 0.5105  6 B 2.33-2.54, 6 C 2.41-2.49
Mg3 0.7207 0.7207 0.9895  6 B 2.33-2.54, 6 C 2.41-2.49
Mg4 0.8482 0.1518 0.0000  6 C 2.25-2.49, 6 B 2.31-2.48
Mg5 0.3482 0.6518 0.5000  6 C 2.25-2.49, 6 B 2.31-2.48
Mg6 0.1518 0.8482 0.0000  6 C 2.25-2.49, 6 B 2.31-2.48
Mg7 0.7793 0.7793 0.4895  6 B 2.33-2.54, 6 C 2.41-2.49
Mg8 0.6518 0.3482 0.5000  6 C 2.25-2.49, 6 B 2.31-2.48
B1 0.2872 0.0317 0.2547  3 C 1.56-1.59
B2 0.0317 0.2872 0.2547  3 C 1.56-1.59
B3 0.8440 0.3440 0.7500  3 C 1.58
B4 0.5317 0.7872 0.2453  3 C 1.56-1.59
B5 0.9683 0.7128 0.7453  3 C 1.56-1.59
B6 0.4683 0.2128 0.7547  3 C 1.56-1.59
B7 0.2128 0.4683 0.7547  3 C 1.56-1.59
B8 0.7128 0.9683 0.7453  3 C 1.56-1.59
B9 0.6560 0.1560 0.2500  3 C 1.58
B10 0.7872 0.5317 0.2453  3 C 1.56-1.59
B11 0.9119 0.9119 0.2237  3 C 1.58
B12 0.4119 0.4119 0.2763  3 C 1.58
B13 0.0881 0.0881 0.7763  3 C 1.58
B14 0.3440 0.8440 0.7500  3 C 1.58
B15 0.5881 0.5881 0.7237  3 C 1.58
B16 0.1560 0.6560 0.2500  3 C 1.58
C1 0.1765 0.6765 0.7500  3 B 1.56-1.58
C2 0.4203 0.4203 0.7299  3 B 1.58-1.59
C3 0.0797 0.0797 0.2299  3 B 1.58-1.59
C4 0.9203 0.9203 0.7701  3 B 1.58-1.59
C5 0.5797 0.5797 0.2701  3 B 1.58-1.59
C6 0.2989 0.0499 0.7759  3 B 1.58
C7 0.2011 0.4501 0.2759  3 B 1.58
C8 0.5499 0.7989 0.7241  3 B 1.58
C9 0.3235 0.8235 0.2500  3 B 1.56-1.58
C10 0.4501 0.2011 0.2759  3 B 1.58
C11 0.0499 0.2989 0.7759  3 B 1.58
C12 0.7011 0.9501 0.2241  3 B 1.58
C13 0.7989 0.5499 0.7241  3 B 1.58
C14 0.8235 0.3235 0.2500  3 B 1.56-1.58
C15 0.9501 0.7011 0.2241  3 B 1.58
C16 0.6765 0.1765 0.7500  3 B 1.56-1.58

## Properties
Energy relative to the elements, kJ/mol of formula units: -118
Total magnetic moment, μB/f.u.: 0.0